[1]
Entry from OQMD via LeMat-Bulk: a relaxed Y2CdBi crystal (PBE).

Summary:
total DFT energy (no corrections): -0.1642 Ha/atom
crystal system: cubic
total magnetic moment: 0.53 μB/cell

Cell: 5.4613 5.4613 5.4613 Å, 60.00 60.00 60.00°
With the nearest neighbours (Å) after each atom.
Positions (direct):
Bi  0.5000  0.5000  0.5000  4 Y 3.34, 4 Cd 3.34
Cd  0.2500  0.2500  0.2500  4 Bi 3.34, 4 Y 3.34
Y  0.0000  0.0000  0.0000  4 Y 3.34, 4 Cd 3.34
Y  0.7500  0.7500  0.7500  4 Y 3.34, 4 Bi 3.34

***

[2]
Entry from OQMD via LeMat-Bulk: a relaxed PaCuSi crystal (PBE).

Summary:
total DFT energy (no corrections): -0.2150 Ha/atom
crystal system: cubic
total magnetic moment: 0.00 μB/cell

Cell: 4.6008 4.6008 4.6008 Å, 60.00 60.00 60.00°
With the nearest neighbours (Å) after each atom.
Positions (direct):
Si  0.7500  0.7500  0.7500  4 Pa 2.82
Cu  0.2500  0.2500  0.2500  4 Pa 2.82
Pa  0.0000  0.0000  0.0000  4 Cu 2.82, 4 Si 2.82

***

[3]
Entry from OQMD via LeMat-Bulk: a relaxed NbCuNi crystal (PBE).

Summary:
crystal system: cubic
energy of formation: 1.9 eV/f.u.
energy above the most stable polymorph in this dataset: 356 meV/atom
total magnetic moment: 0.00 μB/cell

Cell: 4.1157 4.1157 4.1157 Å, 60.00 60.00 60.00°
With the nearest neighbours (Å) after each atom.
Positions (direct):
Nb  0.0000  0.0000  0.0000  4 Ni 2.52, 4 Cu 2.52
Ni  0.7500  0.7500  0.7500  4 Nb 2.52
Cu  0.2500  0.2500  0.2500  4 Nb 2.52

***

[4]
Entry from OQMD via LeMat-Bulk: a relaxed AgPdCl3 crystal (PBE).

Summary:
crystal system: cubic
energy above the most stable polymorph in this dataset: 153 meV/atom

Cell: 4.8622 4.8622 4.8622 Å, 90.00 90.00 90.00°
With the nearest neighbours (Å) after each atom.
Positions (direct):
Pd  0.5000  0.5000  0.5000  6 Cl 2.43
Ag  0.0000  0.0000  0.0000  12 Cl 3.44
Cl  0.5000  0.5000  0.0000  2 Pd 2.43
Cl  0.5000  0.0000  0.5000  2 Pd 2.43
Cl  0.0000  0.5000  0.5000  2 Pd 2.43

***

[5]
Entry from OQMD via LeMat-Bulk: a relaxed NaDyZnSe3 crystal (PBE).

Summary:
crystal system: orthorhombic
energy above the most stable polymorph in this dataset: 0 meV/atom
total magnetic moment: 0.01 μB/cell

Cell: 7.1466 7.1466 10.9458 Å, 90.00 90.00 147.09°
With the nearest neighbours (Å) after each atom.
Positions (direct):
Dy  0.0000  0.0000  0.5000  6 Se 2.86-2.95
Zn  0.4684  0.5316  0.7500  4 Se 2.45-2.54
Na  0.7570  0.2430  0.7500  6 Se 3.16-3.18
Se  0.0803  0.9197  0.7500  2 Zn 2.54
Se  0.3633  0.6367  0.5693  1 Zn 2.45
Se  0.3633  0.6367  0.9308  1 Zn 2.45
Se  0.6367  0.3633  0.0693  1 Zn 2.45
Se  0.9197  0.0803  0.2500  2 Zn 2.54
Zn  0.5316  0.4684  0.2500  4 Se 2.45-2.54
Dy  0.0000  0.0000  0.0000  6 Se 2.86-2.95
Na  0.2430  0.7570  0.2500  6 Se 3.16-3.18
Se  0.6367  0.3633  0.4308  1 Zn 2.45

***

[6]
Entry from OQMD via LeMat-Bulk: a relaxed RbTaPtS5 crystal (PBE).

Summary:
total DFT energy (no corrections): -0.2070 Ha/atom
crystal system: triclinic
total magnetic moment: 0.00 μB/cell

Cell: 7.1006 7.8801 8.5903 Å, 67.26 79.44 83.75°
With the nearest neighbours (Å) after each atom.
Positions (direct):
Pt  0.9441  0.6951  0.3256  5 S 2.33-2.42
S  0.7930  0.1307  0.7101  1 Pt 2.34, 1 Ta 2.43
S  0.8700  0.5805  0.6222  2 Pt 2.33-2.35
Ta  0.7489  0.9617  0.0175  4 S 2.29-2.43
S  0.4619  0.2126  0.0234  1 Ta 2.29
Rb  0.6249  0.3443  0.3189  7 S 3.38-3.77
S  0.3144  0.0841  0.6876  1 Pt 2.37, 1 Ta 2.38
S  0.2069  0.8693  0.2899  1 Pt 2.34, 1 Ta 2.43
S  0.5381  0.7875  0.9767  1 Ta 2.29
S  0.1298  0.4193  0.3777  2 Pt 2.33-2.35
Ta  0.2512  0.0383  0.9826  4 S 2.29-2.43
S  0.0315  0.7665  0.0219  2 Ta 2.39-2.67, 1 Pt 2.42
Pt  0.0559  0.3049  0.6743  5 S 2.33-2.42
S  0.6859  0.9159  0.3124  1 Pt 2.37, 1 Ta 2.38
S  0.9685  0.2335  0.9781  2 Ta 2.39-2.67, 1 Pt 2.42
Rb  0.3750  0.6558  0.6811  7 S 3.38-3.76

***

[7]
Entry from OQMD via LeMat-Bulk: a relaxed YFeCoSi2 crystal (PBE).

Summary:
total DFT energy (no corrections): -0.2689 Ha/atom
crystal system: tetragonal
total magnetic moment: 0.01 μB/cell

Cell: 5.5413 5.5413 5.5413 Å, 138.53 138.53 60.10°
With the nearest neighbours (Å) after each atom.
Positions (direct):
Fe  0.5000  0.5000  0.0000  4 Si 2.26
Si  0.3824  0.8824  0.5000  2 Co 2.26, 2 Fe 2.26
Si  0.1176  0.6176  0.5000  2 Fe 2.26, 2 Co 2.26
Co  0.0000  0.0000  0.0000  4 Si 2.26
Y  0.7500  0.2500  0.5000  8 Si 3.05, 4 Co 3.10, 4 Fe 3.10

***

[8]
Entry from OQMD via LeMat-Bulk: a relaxed YZn8 crystal (PBE).

Summary:
crystal system: hexagonal
energy of formation: 2.0 eV/f.u.
total magnetic moment: 0.12 μB/cell

Cell: 8.8337 8.8337 2.7897 Å, 90.00 90.00 120.00°
With the nearest neighbours (Å) after each atom.
Positions (direct):
Zn  0.8272  0.1728  0.0000  3 Zn 2.46-2.64
Y  0.0000  0.0000  0.5000  2 Y 2.79, 12 Zn 2.99
Zn  0.1728  0.8272  0.0000  3 Zn 2.46-2.64
Zn  0.3333  0.6667  0.0000  3 Zn 2.46
Zn  0.3457  0.1728  0.0000  3 Zn 2.46-2.64
Zn  0.1728  0.3457  0.0000  3 Zn 2.46-2.64
Zn  0.6667  0.3333  0.0000  3 Zn 2.46
Zn  0.6543  0.8272  0.0000  3 Zn 2.46-2.64
Zn  0.8272  0.6543  0.0000  3 Zn 2.46-2.64